(1)
NiAsH2Pb: relaxed, PBE.

Cell: 3.7808 4.8719 3.7808 Å, 90.00 90.00 90.00°
Last column: nearest neighbours and their distance in Å.
Positions (direct):
H: 0.0000 0.0000 0.5000  2 As 1.89
H: 0.5000 0.0000 0.0000  2 As 1.89
Pb: 0.5000 0.5000 0.5000  4 Ni 2.67
Ni: 0.0000 0.5000 0.0000  2 As 2.44, 4 Pb 2.67
As: 0.0000 0.0000 0.0000  4 H 1.89

- Calculated density: 8.17 Mg/m³
- Final energy: -19.4 eV/cell

=====

(2)
Ni2AsHPd: relaxed, PBE.

Cell: 3.7989 3.7989 3.8371 Å, 90.00 90.00 90.00°
Last column: nearest neighbours and their distance in Å.
Positions (direct):
H: 0.0000 0.0000 0.0000  4 Ni 1.90, 2 Pd 1.92
Ni: 0.5000 0.0000 0.0000  2 H 1.90
Ni: 0.0000 0.5000 0.0000  2 H 1.90
As: 0.5000 0.5000 0.5000  4 Pd 2.69, 8 Ni 2.70
Pd: 0.0000 0.0000 0.5000  2 H 1.92

- Calculated density: 8.99 Mg/m³
- Final energy: -25.0 eV/cell